MgScAgF6 | GGA-PBE | relaxed

Geometry as POSCAR:
```
MgScAgF6
1.0
5.4803 0.0000 0.0000
-2.7401 4.7460 0.0000
0.0000 0.0000 10.2469
F Sc Mg Ag
12 2 2 2
Direct
0.0030 0.6276 0.8548
0.3755 0.3724 0.3548
0.3724 0.9970 0.6452
0.9970 0.3724 0.1452
0.6245 0.6276 0.6452
0.9970 0.6245 0.3548
0.0030 0.3755 0.6452
0.6245 0.9970 0.8548
0.3755 0.0030 0.1452
0.6276 0.0030 0.3548
0.3724 0.3755 0.8548
0.6276 0.6245 0.1452
0.3333 0.6667 0.2500
0.6667 0.3333 0.7500
0.6667 0.3333 0.2500
0.3333 0.6667 0.7500
0.0000 0.0000 0.5000
0.0000 0.0000 0.0000
```

Calculated values
Symmetry: P-31c
Volume (Å³ per cell): 266.52


CrMo2As | GGA-PBE | relaxed

Geometry as POSCAR:
```
CrMo2As
1.0
2.7951 0.0129 0.0000
-0.9653 2.6231 0.0000
0.0000 0.0000 8.1764
Mo Cr As
2 1 1
Direct
0.0000 0.0000 0.9902
0.0000 0.0000 0.5098
0.5000 0.5000 0.7500
0.5000 0.5000 0.2500
```

Calculated values
Calculated formation energy (eV per atom): 0.279
Symmetry: Cmmm
Volume (Å³ per cell): 60.05


| no. | energy (eV/cell) | total moment (μB/f.u.) |
| --- | --- | --- |
| 1 | -100.41 | 0.09 |
| 2 | -34.82 | 0.00 |